# 1
## NbAs2Pd (GGA-PBE)

Data for an optimized crystal structure of NbAs2Pd.

## Properties
Formation energy: 0.12 eV per formula unit
Calculated volume: 23.66 A^3/atom
SG: I-42d, No. 122
Crystal system: tetragonal
E: -48.9 eV/cell

Unit cell a=5.8532 b=5.8532 c=6.9022 alpha=64.91 beta=64.91 gamma=90.00
Closest atoms and distances in Å follow each position.
Sites, in units of the cell vectors:
Pd  0.7500  0.2500  0.5000  4 As 2.47
Pd  0.0000  0.0000  0.0000  4 As 2.47
As  0.8750  0.8805  0.7500  2 Pd 2.47, 2 Nb 2.51
As  0.3750  0.3695  0.7500  2 Pd 2.47, 2 Nb 2.51
As  0.1195  0.6250  0.2500  2 Pd 2.47, 2 Nb 2.51
As  0.6305  0.1250  0.2500  2 Pd 2.47, 2 Nb 2.51
Nb  0.2500  0.7500  0.5000  4 As 2.51
Nb  0.5000  0.5000  0.0000  4 As 2.51


# 2
## Nb2AsPd (GGA-PBE)

Data for an optimized crystal structure of Nb2AsPd.

## Properties
Formation energy: -0.29 eV per formula unit
Calculated volume: 17.98 A^3/atom
SG: I-42d, No. 122
Crystal system: tetragonal
E: -60.5 eV/cell

Unit cell a=7.1567 b=7.1567 c=5.7879 alpha=51.81 beta=51.81 gamma=90.00
Closest atoms and distances in Å follow each position.
Sites, in units of the cell vectors:
Nb  0.1394  0.6250  0.2500  2 As 2.56, 2 Pd 2.70, 2 Nb 2.82
Nb  0.6106  0.1250  0.2500  2 As 2.56, 2 Pd 2.70, 2 Nb 2.82
Nb  0.8750  0.8606  0.7500  2 As 2.56, 2 Pd 2.70, 2 Nb 2.82
Nb  0.3750  0.3894  0.7500  2 As 2.56, 2 Pd 2.70, 2 Nb 2.82
Pd  0.0000  0.0000  0.0000  4 Nb 2.70, 2 As 2.81
Pd  0.7500  0.2500  0.5000  4 Nb 2.70, 2 As 2.81
As  0.2500  0.7500  0.5000  4 Nb 2.56, 2 Pd 2.81
As  0.5000  0.5000  0.0000  4 Nb 2.56, 2 Pd 2.81